Be2MoPt2 | PBE-GGA | relaxed

- E: -6.549 eV per atom

```
data_Be2MoPt2
_chemical_formula_sum 'Be4 Mo2 Pt4'
_symmetry_space_group_name_H-M 'P 4/m b m'
_symmetry_Int_Tables_number 127
_symmetry_space_group_name_Hall '-P 4 2ab'
_cell_length_a 6.802
_cell_length_b 6.802
_cell_length_c 2.710
_cell_angle_alpha 90.00
_cell_angle_beta 90.00
_cell_angle_gamma 90.00
loop_
_atom_site_label
_atom_site_type_symbol
_atom_site_fract_x
_atom_site_fract_y
_atom_site_fract_z
Be1 Be 0.124 0.376 0.000
Mo1 Mo 0.000 0.000 0.000
Pt1 Pt 0.171 0.671 0.500
```

***

Be2MoPt | PBE-GGA | relaxed

- E: -6.004 eV per atom

```
data_Be2MoPt
_chemical_formula_sum 'Be8 Mo4 Pt4'
_symmetry_space_group_name_H-M 'F -4 3 m'
_symmetry_Int_Tables_number 216
_symmetry_space_group_name_Hall 'F -4 2 3'
_cell_length_a 5.901
_cell_length_b 5.901
_cell_length_c 5.901
_cell_angle_alpha 90.00
_cell_angle_beta 90.00
_cell_angle_gamma 90.00
loop_
_atom_site_label
_atom_site_type_symbol
_atom_site_fract_x
_atom_site_fract_y
_atom_site_fract_z
Be1 Be 0.000 0.000 0.000
Be2 Be 0.250 0.250 0.250
Mo1 Mo 0.250 0.250 0.750
Pt1 Pt 0.000 0.000 0.500
```

***

PuBeMo | PBE-GGA | relaxed

- Polymorph energy (0 for the lowest one): 0.000 eV per atom
- E: -8.952 eV per atom

```
data_PuBeMo
_chemical_formula_sum 'Pu4 Be4 Mo4'
_symmetry_space_group_name_H-M 'F -4 3 m'
_symmetry_Int_Tables_number 216
_symmetry_space_group_name_Hall 'F -4 2 3'
_cell_length_a 6.014
_cell_length_b 6.014
_cell_length_c 6.014
_cell_angle_alpha 90.00
_cell_angle_beta 90.00
_cell_angle_gamma 90.00
loop_
_atom_site_label
_atom_site_type_symbol
_atom_site_fract_x
_atom_site_fract_y
_atom_site_fract_z
Pu1 Pu 0.000 0.000 0.000
Be1 Be 0.000 0.000 0.500
Mo1 Mo 0.250 0.250 0.750
```

***

PuBeMo | PBE-GGA | relaxed

- Polymorph energy (0 for the lowest one): 0.536 eV per atom
- E: -8.417 eV per atom

```
data_PuBeMo
_chemical_formula_sum 'Pu4 Be4 Mo4'
_symmetry_space_group_name_H-M 'F -4 3 m'
_symmetry_Int_Tables_number 216
_symmetry_space_group_name_Hall 'F -4 2 3'
_cell_length_a 5.952
_cell_length_b 5.952
_cell_length_c 5.952
_cell_angle_alpha 90.00
_cell_angle_beta 90.00
_cell_angle_gamma 90.00
loop_
_atom_site_label
_atom_site_type_symbol
_atom_site_fract_x
_atom_site_fract_y
_atom_site_fract_z
Pu1 Pu 0.000 0.000 0.000
Be1 Be 0.250 0.250 0.750
Mo1 Mo 0.250 0.250 0.250
```

***

RbBeMo | PBE-GGA | relaxed

- Polymorph energy (0 for the lowest one): 0.115 eV per atom
- E: -2.942 eV per atom

```
data_RbBeMo
_chemical_formula_sum 'Rb4 Be4 Mo4'
_symmetry_space_group_name_H-M 'F -4 3 m'
_symmetry_Int_Tables_number 216
_symmetry_space_group_name_Hall 'F -4 2 3'
_cell_length_a 6.761
_cell_length_b 6.761
_cell_length_c 6.761
_cell_angle_alpha 90.00
_cell_angle_beta 90.00
_cell_angle_gamma 90.00
loop_
_atom_site_label
_atom_site_type_symbol
_atom_site_fract_x
_atom_site_fract_y
_atom_site_fract_z
Rb1 Rb 0.000 0.000 0.000
Be1 Be 0.000 0.000 0.500
Mo1 Mo 0.250 0.250 0.750
```

***

RbBeMo | PBE-GGA | relaxed

- Polymorph energy (0 for the lowest one): 0.000 eV per atom
- E: -3.058 eV per atom

```
data_RbBeMo
_chemical_formula_sum 'Rb4 Be4 Mo4'
_symmetry_space_group_name_H-M 'F -4 3 m'
_symmetry_Int_Tables_number 216
_symmetry_space_group_name_Hall 'F -4 2 3'
_cell_length_a 6.940
_cell_length_b 6.940
_cell_length_c 6.940
_cell_angle_alpha 90.00
_cell_angle_beta 90.00
_cell_angle_gamma 90.00
loop_
_atom_site_label
_atom_site_type_symbol
_atom_site_fract_x
_atom_site_fract_y
_atom_site_fract_z
Rb1 Rb 0.000 0.000 0.000
Be1 Be 0.250 0.250 0.750
Mo1 Mo 0.000 0.000 0.500
```

***

BeReMo2 | PBE-GGA | relaxed

- E: -9.282 eV per atom

```
data_BeReMo2
_chemical_formula_sum 'Be4 Re4 Mo8'
_symmetry_space_group_name_H-M 'F -4 3 m'
_symmetry_Int_Tables_number 216
_symmetry_space_group_name_Hall 'F -4 2 3'
_cell_length_a 6.092
_cell_length_b 6.092
_cell_length_c 6.092
_cell_angle_alpha 90.00
_cell_angle_beta 90.00
_cell_angle_gamma 90.00
loop_
_atom_site_label
_atom_site_type_symbol
_atom_site_fract_x
_atom_site_fract_y
_atom_site_fract_z
Be1 Be 0.000 0.000 0.000
Re1 Re 0.250 0.250 0.250
Mo1 Mo 0.000 0.000 0.500
Mo2 Mo 0.250 0.250 0.750
```

***

BeReMo | PBE-GGA | relaxed

- Polymorph energy (0 for the lowest one): 0.000 eV per atom
- E: -8.420 eV per atom

```
data_BeReMo
_chemical_formula_sum 'Be4 Re4 Mo4'
_symmetry_space_group_name_H-M 'F -4 3 m'
_symmetry_Int_Tables_number 216
_symmetry_space_group_name_Hall 'F -4 2 3'
_cell_length_a 5.512
_cell_length_b 5.512
_cell_length_c 5.512
_cell_angle_alpha 90.00
_cell_angle_beta 90.00
_cell_angle_gamma 90.00
loop_
_atom_site_label
_atom_site_type_symbol
_atom_site_fract_x
_atom_site_fract_y
_atom_site_fract_z
Be1 Be 0.000 0.000 0.000
Re1 Re 0.250 0.250 0.250
Mo1 Mo 0.250 0.250 0.750
```

***

- Which value of E does entry 3 give?
  -8.952 eV per atom

***

- What is the E in the first record?
  -6.549 eV per atom